VASP calculation (PBEsol) on crystalline TaZnAg2 at its relaxed geometry.

```
TaZnAg2
1.0
4.250 0.000 0.000
0.000 1.359 5.578
0.000 -1.359 5.578
Ta Zn Ag
1 1 2
Direct
0.000 0.000 0.000
0.500 0.390 0.390
0.000 0.257 0.257
0.500 0.636 0.636
```

Results
total moment: 0.00 μB/cell
V: 16.1 A^3/atom
formation energy from the elements: 0.71 eV per formula unit
space-group type: No. 38
DOS at the Fermi energy: 1.76 states/eV/cell

***

VASP calculation (PBEsol) on crystalline Zr2TaAg at its relaxed geometry.

```
Zr2TaAg
1.0
3.074 0.000 0.000
0.000 3.855 0.000
0.000 0.000 6.489
Zr Ta Ag
2 1 1
Direct
0.000 0.000 0.000
0.500 0.500 0.271
0.500 0.500 0.755
0.000 0.000 0.518
```

Results
total moment: 0.00 μB/cell
relative energy among the computed polymorphs: 14.5 kJ/mol of atoms
V: 19.2 A^3/atom
formation energy from the elements: 0.55 eV per formula unit
space-group type: No. 25
DOS at the Fermi energy: 3.52 states/eV/cell

***

VASP calculation (PBEsol) on crystalline ZrTaAg2 at its relaxed geometry.

```
ZrTaAg2
1.0
2.904 0.000 0.000
0.000 2.904 0.000
0.000 0.000 8.550
Zr Ta Ag
1 1 2
Direct
0.000 0.000 0.000
0.500 0.500 0.260
0.000 0.000 0.503
0.500 0.500 0.737
```

Results
total moment: 0.00 μB/cell
relative energy among the computed polymorphs: 0.0 kJ/mol of atoms
V: 18.0 A^3/atom
formation energy from the elements: 0.16 eV per formula unit
space-group type: No. 99
DOS at the Fermi energy: 3.13 states/eV/cell

***

VASP calculation (PBEsol) on crystalline Zr2TaAg at its relaxed geometry.

```
Zr2TaAg
1.0
-2.076 2.076 4.475
2.076 -2.076 4.475
2.076 2.076 -4.475
Zr Ta Ag
2 1 1
Direct
0.000 0.000 0.000
0.750 0.250 0.500
0.250 0.750 0.500
0.500 0.500 0.000
```

Results
total moment: 0.00 μB/cell
relative energy among the computed polymorphs: 11.6 kJ/mol of atoms
V: 19.3 A^3/atom
formation energy from the elements: 0.43 eV per formula unit
space-group type: No. 119
DOS at the Fermi energy: 2.99 states/eV/cell

***

VASP calculation (PBEsol) on crystalline ZrTaAg2 at its relaxed geometry.

```
ZrTaAg2
1.0
4.618 0.000 0.000
0.000 1.362 5.689
0.000 -1.362 5.689
Zr Ta Ag
1 1 2
Direct
0.000 0.000 0.000
0.500 0.346 0.346
0.000 0.743 0.743
0.500 0.613 0.613
```

Results
total moment: 0.00 μB/cell
relative energy among the computed polymorphs: 12.1 kJ/mol of atoms
V: 17.9 A^3/atom
formation energy from the elements: 0.67 eV per formula unit
space-group type: No. 38
DOS at the Fermi energy: 3.76 states/eV/cell

***

VASP calculation (PBEsol) on crystalline Zr2TaAg at its relaxed geometry.

```
Zr2TaAg
1.0
3.141 0.000 0.000
0.000 3.538 0.000
0.000 0.000 7.055
Zr Ta Ag
2 1 1
Direct
0.000 0.000 0.243
0.000 0.000 0.757
0.500 0.500 0.000
0.500 0.500 0.500
```

Results
total moment: 0.00 μB/cell
relative energy among the computed polymorphs: 0.0 kJ/mol of atoms
V: 19.6 A^3/atom
formation energy from the elements: -0.05 eV per formula unit
space-group type: No. 47
DOS at the Fermi energy: 3.53 states/eV/cell

***

VASP calculation (PBEsol) on crystalline Zr2TaAg at its relaxed geometry.

```
Zr2TaAg
1.0
4.747 0.000 0.000
0.000 4.747 0.000
0.000 0.000 3.411
Zr Ta Ag
2 1 1
Direct
0.000 0.500 0.000
0.500 0.000 0.000
0.000 0.000 0.500
0.500 0.500 0.500
```

Results
total moment: 0.00 μB/cell
relative energy among the computed polymorphs: 7.8 kJ/mol of atoms
V: 19.2 A^3/atom
formation energy from the elements: 0.28 eV per formula unit
space-group type: No. 123
DOS at the Fermi energy: 4.57 states/eV/cell

***

VASP calculation (PBEsol) on crystalline TbAg at its relaxed geometry.

```
TbAg
1.0
3.584 0.000 0.000
0.000 3.584 0.000
0.000 0.000 3.584
Tb Ag
1 1
Direct
0.000 0.000 0.000
0.500 0.500 0.500
```

Results
total moment: 0.00 μB/cell
V: 23.0 A^3/atom
formation energy from the elements: -0.64 eV per formula unit
space-group type: No. 221
DOS at the Fermi energy: 1.08 states/eV/cell

***

VASP calculation (PBEsol) on crystalline Tb14Ag51 at its relaxed geometry.

```
Tb14Ag51
1.0
12.498 0.000 0.000
-6.249 10.824 0.000
0.000 0.000 9.183
Tb Ag
14 51
Direct
0.000 0.000 0.193
0.000 0.000 0.807
0.114 0.399 0.500
0.139 0.673 0.000
0.285 0.886 0.500
0.327 0.466 0.000
0.382 0.269 0.500
0.471 0.141 0.000
0.534 0.861 0.000
0.601 0.715 0.500
0.670 0.529 0.000
0.731 0.114 0.500
0.859 0.330 0.000
0.886 0.618 0.500
0.007 0.130 0.500
0.060 0.240 0.000
0.075 0.814 0.271
0.075 0.814 0.729
0.105 0.442 0.167
0.105 0.442 0.833
0.116 0.625 0.347
0.116 0.625 0.653
0.123 0.993 0.500
0.181 0.940 0.000
0.186 0.261 0.271
0.186 0.261 0.729
0.236 0.178 0.000
0.272 0.077 0.258
0.272 0.077 0.742
0.333 0.667 0.198
0.333 0.667 0.500
0.333 0.667 0.802
0.337 0.895 0.167
0.337 0.895 0.833
0.375 0.491 0.347
0.375 0.491 0.653
0.437 0.333 0.168
0.437 0.333 0.832
0.498 0.115 0.348
0.498 0.115 0.652
0.509 0.884 0.347
0.509 0.884 0.653
0.558 0.663 0.167
0.558 0.663 0.833
0.617 0.502 0.348
0.617 0.502 0.652
0.667 0.103 0.168
0.667 0.103 0.832
0.667 0.333 0.199
0.667 0.333 0.500
0.667 0.333 0.801
0.739 0.925 0.271
0.739 0.925 0.729
0.760 0.819 0.000
0.806 0.728 0.258
0.806 0.728 0.742
0.822 0.057 0.000
0.870 0.877 0.500
0.885 0.383 0.348
0.885 0.383 0.652
0.897 0.563 0.168
0.897 0.563 0.832
0.923 0.194 0.258
0.923 0.194 0.742
0.943 0.764 0.000
```

Results
total moment: 0.00 μB/cell
V: 19.1 A^3/atom
formation energy from the elements: -16.87 eV per formula unit
space-group type: No. 174
DOS at the Fermi energy: 30.04 states/eV/cell

***

VASP calculation (PBEsol) on crystalline TbTlAg2 at its relaxed geometry.

```
TbTlAg2
1.0
0.000 3.458 3.458
3.458 0.000 3.458
3.458 3.458 0.000
Tb Tl Ag
1 1 2
Direct
0.000 0.000 0.000
0.500 0.500 0.500
0.250 0.250 0.250
0.750 0.750 0.750
```

Results
total moment: 0.00 μB/cell
V: 20.7 A^3/atom
formation energy from the elements: -1.14 eV per formula unit
space-group type: No. 225
DOS at the Fermi energy: 1.30 states/eV/cell

***

VASP calculation (PBEsol) on crystalline Tc3Ag at its relaxed geometry.

```
Tc3Ag
1.0
2.730 0.000 0.000
0.000 4.390 0.000
0.000 0.000 4.793
Tc Ag
3 1
Direct
0.000 0.000 0.000
0.000 0.500 0.315
0.500 0.500 0.831
0.500 0.000 0.497
```

Results
total moment: 0.00 μB/cell
relative energy among the computed polymorphs: 0.0 kJ/mol of atoms
V: 14.4 A^3/atom
formation energy from the elements: 1.32 eV per formula unit
space-group type: No. 25
DOS at the Fermi energy: 3.23 states/eV/cell

***

VASP calculation (PBEsol) on crystalline Tc2Ag at its relaxed geometry.

```
Tc2Ag
1.0
2.727 0.000 0.000
-1.363 2.361 0.000
0.000 0.000 6.918
Tc Ag
2 1
Direct
0.333 0.667 0.354
0.667 0.333 0.646
0.000 0.000 0.000
```

Results
total moment: 0.00 μB/cell
V: 14.8 A^3/atom
formation energy from the elements: 0.59 eV per formula unit
space-group type: No. 164
DOS at the Fermi energy: 1.45 states/eV/cell

***

VASP calculation (PBEsol) on crystalline TcAg4 at its relaxed geometry.

```
TcAg4
1.0
-3.173 3.173 2.020
3.173 -3.173 2.020
3.173 3.173 -2.020
Tc Ag
1 4
Direct
0.000 0.000 0.000
0.202 0.602 0.804
0.398 0.202 0.600
0.602 0.798 0.400
0.798 0.398 0.196
```

Results
total moment: 2.79 μB/cell
V: 16.3 A^3/atom
formation energy from the elements: 2.43 eV per formula unit
space-group type: No. 87
DOS at the Fermi energy: 2.50 states/eV/cell

***

VASP calculation (PBEsol) on crystalline Tc3Ag at its relaxed geometry.

```
Tc3Ag
1.0
2.718 -3.888 0.000
2.718 3.888 0.000
0.000 0.000 2.723
Tc Ag
3 1
Direct
0.000 0.000 0.000
0.000 0.500 0.500
0.500 0.000 0.500
0.500 0.500 0.000
```

Results
total moment: 0.00 μB/cell
relative energy among the computed polymorphs: 10.2 kJ/mol of atoms
V: 14.4 A^3/atom
formation energy from the elements: 1.74 eV per formula unit
space-group type: No. 65
DOS at the Fermi energy: 5.06 states/eV/cell

***

VASP calculation (PBEsol) on crystalline TcAgTe2 at its relaxed geometry.

```
TcAgTe2
1.0
1.635 -2.612 0.000
1.635 2.612 0.000
0.000 0.000 9.893
Tc Ag Te
1 1 2
Direct
0.000 0.000 0.000
0.000 0.000 0.500
0.500 0.500 0.216
0.500 0.500 0.784
```

Results
total moment: 0.00 μB/cell
V: 21.1 A^3/atom
space-group type: No. 65
formation energy without anion corrections: 0.511 eV per atom
DOS at the Fermi energy: 3.21 states/eV/cell

***

VASP calculation (PBEsol) on crystalline TcAg2Te at its relaxed geometry.

```
TcAg2Te
1.0
0.000 3.259 3.259
3.259 0.000 3.259
3.259 3.259 0.000
Tc Ag Te
1 2 1
Direct
0.000 0.000 0.000
0.500 0.500 0.500
0.750 0.750 0.750
0.250 0.250 0.250
```

Results
total moment: 0.00 μB/cell
V: 17.3 A^3/atom
space-group type: No. 216
formation energy without anion corrections: 0.505 eV per atom
DOS at the Fermi energy: 3.31 states/eV/cell

***

VASP calculation (PBEsol) on crystalline TcAg2Te at its relaxed geometry.

```
TcAg2Te
1.0
3.359 0.000 0.000
0.000 3.359 0.000
0.000 0.000 6.244
Tc Ag Te
1 2 1
Direct
0.000 0.000 0.000
0.000 0.000 0.512
0.500 0.500 0.731
0.500 0.500 0.200
```

Results
total moment: 0.00 μB/cell
V: 17.6 A^3/atom
space-group type: No. 99
formation energy without anion corrections: 0.233 eV per atom
DOS at the Fermi energy: 1.58 states/eV/cell

***

VASP calculation (PBEsol) on crystalline Tm2TcAg at its relaxed geometry.

```
Tm2TcAg
1.0
0.000 3.406 3.406
3.406 0.000 3.406
3.406 3.406 0.000
Tm Tc Ag
2 1 1
Direct
0.250 0.250 0.250
0.750 0.750 0.750
0.000 0.000 0.000
0.500 0.500 0.500
```

Results
total moment: 0.00 μB/cell
V: 19.8 A^3/atom
formation energy from the elements: -0.66 eV per formula unit
space-group type: No. 225
DOS at the Fermi energy: 2.55 states/eV/cell

***

VASP calculation (PBEsol) on crystalline TcAgW2 at its relaxed geometry.

```
TcAgW2
1.0
2.823 0.000 0.000
0.000 3.941 0.000
0.000 0.000 5.591
Tc Ag W
1 1 2
Direct
0.000 0.000 0.000
0.500 0.500 0.725
0.000 0.000 0.458
0.500 0.500 0.213
```

Results
total moment: 0.00 μB/cell
V: 15.5 A^3/atom
formation energy from the elements: 1.84 eV per formula unit
space-group type: No. 25
DOS at the Fermi energy: 2.91 states/eV/cell

***

VASP calculation (PBEsol) on crystalline Tc2AgW2 at its relaxed geometry.

```
Tc2AgW2
1.0
-2.051 2.051 5.414
2.051 -2.051 5.414
2.051 2.051 -5.414
Tc Ag W
2 1 2
Direct
0.250 0.750 0.500
0.750 0.250 0.500
0.000 0.000 0.000
0.378 0.378 0.000
0.622 0.622 0.000
```

Results
total moment: 0.00 μB/cell
V: 18.2 A^3/atom
formation energy from the elements: 4.38 eV per formula unit
space-group type: No. 139
DOS at the Fermi energy: 5.11 states/eV/cell